Material: Dy12In6Co
Method: DFT, GGA-PBE
State: optimized geometry

The calculation puts the calculated formation energy at -198 meV per atom. For the calculated volume, the calculation gives 1672.8 Å³ per cell. The value obtained for the total energy is -4.344 eV/atom.

The structure belongs to space group R-3 (No. 148, hexagonal axes); the cell edges are 12.1041, 12.1041 and 13.1839 Å and the angles 90.00°, 90.00° and 120.00°. The inequivalent atoms are Dy at (0.0354, 0.1865, 0.3902), Dy at (0.0370, 0.8523, 0.8756), In at (0.0048, 0.3970, 0.2591) and Co at (0.0000, 0.0000, 0.0000).